Material: Sm3Dy4Tl4
Method: DFT, PBE
State: relaxed

The energy of formation comes out at -0.23 eV/atom. Its volume is 30.6 A^3/atom. The calculation puts the size of the total moment at 1.9 μB per formula unit.

The space group is Immm (No. 71) and the conventional cell measures 3.7802, 9.7051 and 18.3784 Å, with angles of 90.00, 90.00 and 90.00 degrees. Symmetry generates all atoms from Sm at (0.0000, 0.0000, 0.0000), Sm at (0.0000, 0.5000, 0.0998), Dy at (0.0000, 0.3031, 0.3335), Tl at (0.0000, 0.0000, 0.2595) and Tl at (0.0000, 0.2218, 0.5000).